The following is a DFT calculation (PBE-GGA) of a relaxed structure of Na2In3SnBr6.

abc: 7.2975 7.2975 8.8343
angles: 98.18 98.18 120.41
Last column: nearest neighbours and their distance in Å.
Fractional positions:
1 In 0.8380 0.1620 0.5000  6 Br 3.43-3.47
2 In 0.1620 0.8380 0.5000  6 Br 3.43-3.47
3 In 0.5000 0.5000 0.5000  6 Br 3.44-3.49
4 Br 0.9285 0.5940 0.7892  2 Na 3.00-3.01, 1 Sn 3.02
5 Br 0.7357 0.7357 0.2061  2 Na 2.99, 1 Sn 3.00
6 Br 0.2643 0.2643 0.7939  2 Na 2.99, 1 Sn 3.00
7 Br 0.5940 0.9285 0.7892  2 Na 3.00-3.01, 1 Sn 3.02
8 Br 0.0715 0.4060 0.2108  2 Na 3.00-3.01, 1 Sn 3.02
9 Br 0.4060 0.0715 0.2108  2 Na 3.00-3.01, 1 Sn 3.02
10 Sn 0.0000 0.0000 0.0000  6 Br 3.00-3.02
11 Na 0.6672 0.3328 0.0000  6 Br 2.99-3.01
12 Na 0.3328 0.6672 0.0000  6 Br 2.99-3.01

Size of the total moment in μB per cell: 0.0
Total energy in eV per cell: -34.9